Record 1
A geometry-optimized Pm2GaTc structure. Source: Alexandria via LeMat-Bulk, functional PBE.

Computed properties:
V = 24.19 Å³/atom
energy of formation from the pure elements = 0.509 eV/atom
total magnetization = 1.179 μB per formula unit

a = 3.274 Å, b = 3.274 Å, c = 10.593 Å
α = 81.11°, β = 81.11°, γ = 60.00°
Site moments in Bohr magnetons follow the coordinates.
Positions (direct):
Pm  0.913  0.913  0.260  0.00
Ga  0.500  0.500  0.500  0.01
Pm  0.087  0.087  0.740  0.00
Tc  0.000  0.000  0.000  1.05

***

Record 2
A geometry-optimized PmGa9Tc2 structure. Source: Alexandria via LeMat-Bulk, functional PBE.

Computed properties:
V = 17.79 Å³/atom
energy of formation from the pure elements = -0.295 eV/atom
total magnetization = 0.000 μB per formula unit

a = 3.347 Å, b = 8.582 Å, c = 8.582 Å
α = 120.00°, β = 90.00°, γ = 90.00°
Positions (direct):
Ga  0.500  0.191  0.382
Ga  0.500  0.809  0.618
Ga  0.500  0.191  0.809
Ga  0.500  0.618  0.809
Ga  0.500  0.382  0.191
Ga  0.500  0.809  0.191
Tc  0.000  0.667  0.333
Tc  0.000  0.333  0.667
Ga  0.000  0.500  0.000
Ga  0.000  0.000  0.500
Pm  0.000  0.000  0.000
Ga  0.000  0.500  0.500

***

Record 3
A geometry-optimized PmGa2Tc structure. Source: Alexandria via LeMat-Bulk, functional PBE.

Computed properties:
V = 19.52 Å³/atom
energy of formation from the pure elements = 0.000 eV/atom
total magnetization = 0.001 μB per formula unit

a = 3.153 Å, b = 3.153 Å, c = 9.254 Å
α = 80.19°, β = 80.19°, γ = 60.00°
Positions (direct):
Tc  0.000  0.000  0.000
Pm  0.500  0.500  0.500
Ga  0.264  0.264  0.209
Ga  0.736  0.736  0.791

***

Record 4
A geometry-optimized Pm2Ga3Tc structure. Source: Alexandria via LeMat-Bulk, functional PBE.

Computed properties:
V = 20.02 Å³/atom
energy of formation from the pure elements = -0.474 eV/atom
total magnetization = 0.000 μB per formula unit

a = 5.617 Å, b = 5.617 Å, c = 5.463 Å
α = 89.99°, β = 120.90°, γ = 120.05°
Positions (direct):
Ga  0.000  0.000  0.500
Ga  0.500  0.000  0.500
Pm  0.744  0.372  0.116
Pm  0.256  0.628  0.884
Tc  0.000  0.000  0.000
Ga  0.500  0.500  0.500

***

Record 5
A geometry-optimized PmGa5Tc2 structure. Source: Alexandria via LeMat-Bulk, functional PBE.

Computed properties:
V = 18.42 Å³/atom
energy of formation from the pure elements = -0.234 eV/atom
total magnetization = 0.000 μB per formula unit

a = 3.598 Å, b = 6.748 Å, c = 6.748 Å
α = 72.33°, β = 74.54°, γ = 74.54°
Positions (direct):
Tc  0.239  0.261  0.261
Ga  0.650  0.560  0.139
Ga  0.000  0.500  0.500
Tc  0.761  0.739  0.739
Ga  0.350  0.861  0.440
Ga  0.650  0.139  0.560
Ga  0.350  0.440  0.861
Pm  0.000  0.000  0.000

***

Record 6
A geometry-optimized PmGa3Tc structure. Source: Alexandria via LeMat-Bulk, functional PBE.

Computed properties:
V = 19.36 Å³/atom
energy of formation from the pure elements = -0.410 eV/atom
total magnetization = 0.002 μB per formula unit

a = 5.606 Å, b = 6.314 Å, c = 6.314 Å
α = 120.00°, β = 90.00°, γ = 90.00°
Positions (direct):
Tc  0.500  0.000  0.000
Tc  0.000  0.000  0.000
Pm  0.750  0.333  0.667
Ga  0.750  0.805  0.610
Ga  0.250  0.610  0.805
Ga  0.250  0.195  0.805
Ga  0.750  0.390  0.195
Pm  0.250  0.667  0.333
Ga  0.750  0.805  0.195
Ga  0.250  0.195  0.390

***

Record 7
A geometry-optimized Pm3GaTc structure. Source: Alexandria via LeMat-Bulk, functional PBE.

Computed properties:
V = 25.69 Å³/atom
energy of formation from the pure elements = -0.200 eV/atom
total magnetization = 0.000 μB per formula unit

a = 5.134 Å, b = 6.271 Å, c = 9.002 Å
α = 102.48°, β = 90.00°, γ = 114.16°
Positions (direct):
Ga  0.622  0.243  0.541
Pm  0.090  0.179  0.360
Tc  0.107  0.213  0.028
Ga  0.378  0.757  0.459
Pm  0.750  0.499  0.220
Pm  0.250  0.501  0.780
Pm  0.431  0.863  0.147
Pm  0.569  0.137  0.853
Pm  0.910  0.821  0.640
Tc  0.893  0.787  0.972

***

Record 8
A geometry-optimized PmGa8Tc2 structure. Source: Alexandria via LeMat-Bulk, functional PBE.

Computed properties:
V = 19.60 Å³/atom
energy of formation from the pure elements = -0.199 eV/atom
total magnetization = 0.000 μB per formula unit

a = 4.866 Å, b = 6.792 Å, c = 6.792 Å
α = 99.15°, β = 98.63°, γ = 98.63°
Positions (direct):
Tc  0.000  0.719  0.281
Ga  0.899  0.903  0.643
Ga  0.240  0.617  0.617
Ga  0.500  0.701  0.299
Ga  0.101  0.357  0.097
Ga  0.760  0.383  0.383
Tc  0.000  0.281  0.719
Ga  0.500  0.299  0.701
Ga  0.899  0.643  0.903
Pm  0.500  0.000  0.000
Ga  0.101  0.097  0.357

***

Record 9
A geometry-optimized Pm2GaTc structure. Source: Alexandria via LeMat-Bulk, functional PBE.

Computed properties:
V = 23.23 Å³/atom
energy of formation from the pure elements = -0.140 eV/atom
total magnetization = 0.000 μB per formula unit

a = 3.632 Å, b = 3.632 Å, c = 7.047 Å
α = 90.00°, β = 90.00°, γ = 90.00°
Positions (direct):
Pm  0.000  0.000  0.763
Ga  0.500  0.500  0.500
Tc  0.500  0.500  0.000
Pm  0.000  0.000  0.237

***

Record 10
A geometry-optimized Pm6GaTc2 structure. Source: Alexandria via LeMat-Bulk, functional PBE.

Computed properties:
V = 27.44 Å³/atom
energy of formation from the pure elements = -0.123 eV/atom
total magnetization = 0.000 μB per formula unit

a = 8.639 Å, b = 8.639 Å, c = 8.639 Å
α = 104.81°, β = 112.12°, γ = 111.58°
Positions (direct):
Pm  0.803  0.247  0.050
Pm  0.457  0.273  0.183
Pm  0.312  0.643  0.331
Ga  0.000  0.500  0.500
Pm  0.803  0.753  0.557
Pm  0.312  0.980  0.669
Tc  0.500  0.612  0.112
Pm  0.197  0.753  0.950
Pm  0.197  0.247  0.443
Tc  0.681  0.000  0.681
Pm  0.910  0.727  0.183
Tc  0.319  0.000  0.319
Ga  0.000  0.000  0.000
Tc  0.500  0.388  0.888
Pm  0.688  0.020  0.331
Pm  0.090  0.273  0.817
Pm  0.543  0.727  0.817
Pm  0.688  0.357  0.669

***

Record 11
A geometry-optimized PmGa6Tc structure. Source: Alexandria via LeMat-Bulk, functional PBE.

Computed properties:
V = 20.69 Å³/atom
energy of formation from the pure elements = -0.184 eV/atom
total magnetization = 0.000 μB per formula unit

a = 5.855 Å, b = 5.855 Å, c = 5.850 Å
α = 72.67°, β = 72.67°, γ = 107.31°
Positions (direct):
Ga  0.283  0.283  0.145
Tc  0.000  0.000  0.000
Ga  0.855  0.283  0.717
Ga  0.283  0.855  0.717
Ga  0.717  0.145  0.283
Pm  0.500  0.500  0.500
Ga  0.145  0.717  0.283
Ga  0.717  0.717  0.855

***

Record 12
A geometry-optimized PmGa2Tc structure. Source: Alexandria via LeMat-Bulk, functional PBE.

Computed properties:
V = 18.73 Å³/atom
energy of formation from the pure elements = -0.274 eV/atom
total magnetization = 0.001 μB per formula unit

a = 3.276 Å, b = 3.276 Å, c = 6.983 Å
α = 90.00°, β = 90.00°, γ = 90.00°
Positions (direct):
Pm  0.500  0.500  0.500
Tc  0.500  0.500  0.000
Ga  0.000  0.000  0.809
Ga  0.000  0.000  0.191

***

The highest energy of formation from the pure elements belongs to which entry? number 1

***

Which value of total magnetization does entry 10 give? 0.000 μB per formula unit

***

The highest total magnetization belongs to which entry? number 1